CsBeH2: relaxed, PBE-GGA.

## Properties
E above lowest polymorph   0.000 eV per atom
Crystal system   tetragonal
Density   3.7 Mg/m³
DFT total energy   -2.51 eV per atom

Geometry as CIF:
```
data_CsBeH2
_space_group_name_H-M_alt 'I 41/a m d'
_space_group_IT_number 141
_cell_length_a 5.1107
_cell_length_b 5.1107
_cell_length_c 9.7668
_cell_angle_alpha 90.00
_cell_angle_beta 90.00
_cell_angle_gamma 90.00
loop_
_space_group_symop_operation_xyz
'x,y,z'
'-x,-y,-z'
'-y+1/4,x+3/4,z+1/4'
'y+1/4,-x+3/4,-z+1/4'
'-x+1/2,-y,z+1/2'
'x+1/2,y,-z+1/2'
'y+1/4,-x+1/4,z+3/4'
'-y+1/4,x+1/4,-z+3/4'
'x,-y,-z'
'-x,y,z'
'-y+1/4,-x+1/4,-z+3/4'
'y+1/4,x+1/4,z+3/4'
'-x+1/2,y,-z+1/2'
'x+1/2,-y,z+1/2'
'y+1/4,x+3/4,-z+1/4'
'-y+1/4,-x+3/4,z+1/4'
'x+1/2,y+1/2,z+1/2'
'-x+1/2,-y+1/2,-z+1/2'
'-y+3/4,x+1/4,z+3/4'
'y+3/4,-x+1/4,-z+3/4'
'-x,-y+1/2,z'
'x,y+1/2,-z'
'y+3/4,-x+3/4,z+1/4'
'-y+3/4,x+3/4,-z+1/4'
'x+1/2,-y+1/2,-z+1/2'
'-x+1/2,y+1/2,z+1/2'
'-y+3/4,-x+3/4,-z+1/4'
'y+3/4,x+3/4,z+1/4'
'-x,y+1/2,-z'
'x,-y+1/2,z'
'y+3/4,x+1/4,-z+3/4'
'-y+3/4,-x+1/4,z+3/4'
loop_
_atom_site_label
_atom_site_type_symbol
_atom_site_fract_x
_atom_site_fract_y
_atom_site_fract_z
_atom_site_occupancy
Cs1 Cs 0.0000 0.2500 0.3750 1
Be1 Be 0.0000 0.2500 0.8750 1
H1 H 0.0000 0.0000 0.0000 1
```